Here is a geometry-optimized BaCdInPd structure from the Alexandria database. Energies are from PBE.

- space-group type = R3m
- energy relative to the elements (eV per atom) = -0.42
- crystal system = trigonal

extended XYZ file:
```
12
Lattice="4.751 0.000 0.000 -2.376 4.115 0.000 0.000 0.000 18.081" Properties=species:S:1:pos:R:3 pbc="T T T"
Ba 0.000 0.000 0.000
Ba 0.000 2.743 12.054
Ba 2.376 1.372 6.027
Cd 0.000 0.000 14.418
Cd 0.000 2.743 8.391
Cd 2.376 1.372 2.364
In 0.000 0.000 3.669
In 0.000 2.743 15.724
In 2.376 1.372 9.697
Pd 0.000 0.000 8.963
Pd 0.000 2.743 2.936
Pd 2.376 1.372 14.990
```

Here is a geometry-optimized Ba2CdIn4Pd3 structure from the Alexandria database. Energies are from PBE.

- space-group type = P-4m2
- energy relative to the elements (eV per atom) = -0.51
- crystal system = tetragonal

extended XYZ file:
```
10
Lattice="4.900 0.000 0.000 0.000 4.900 0.000 0.000 0.000 10.953" Properties=species:S:1:pos:R:3 pbc="T T T"
Ba 0.000 2.450 2.701
Ba 2.450 0.000 8.252
Cd 2.450 2.450 0.000
In 0.000 0.000 5.476
In 0.000 2.450 9.502
In 2.450 0.000 1.451
In 2.450 2.450 5.476
Pd 0.000 0.000 0.000
Pd 0.000 2.450 6.774
Pd 2.450 0.000 4.179
```

Here is a geometry-optimized BaCdIn2Pd structure from the Alexandria database. Energies are from PBE.

- space-group type = P4/mmm
- relative energy among the computed polymorphs (eV per atom) = 0.116
- energy relative to the elements (eV per atom) = -0.26
- crystal system = tetragonal

extended XYZ file:
```
5
Lattice="5.264 0.000 0.000 0.000 5.264 0.000 0.000 0.000 5.952" Properties=species:S:1:pos:R:3 pbc="T T T"
Ba 0.000 0.000 0.000
Cd 2.632 2.632 0.000
In 0.000 2.632 2.976
In 2.632 0.000 2.976
Pd 0.000 0.000 2.976
```

Number 1: DOS(E_F) 8.090 states/eV per cell. Number 2: DOS(E_F) 5.734 states/eV per cell. Number 3: DOS(E_F) 3.514 states/eV per cell.